w:
{
  "formula": "Al3ZnAg",
  "functional": "PBE-GGA",
  "state": "optimized geometry",
  "cell": [[2.834, 0.000, 0.000], [0.000, 8.742, 0.000], [-1.351, 0.000, 7.471]],
  "species": ["Al", "Al", "Al", "Al", "Al", "Al", "Zn", "Zn", "Ag", "Ag"],
  "fractional_positions": [[0.091, 0.250, 0.190], [0.335, 0.506, 0.668], [0.335, 0.994, 0.668], [0.665, 0.006, 0.332], [0.665, 0.494, 0.332], [0.909, 0.750, 0.810], [0.217, 0.750, 0.442], [0.783, 0.250, 0.558], [0.444, 0.250, 0.885], [0.556, 0.750, 0.115]],
  "space_group": "P2_1/m (11)",
  "crystal_system": "monoclinic",
  "dos_at_fermi_per_ev_fu": 1.36
}

---

x:
{
  "formula": "Al3ZnAg",
  "functional": "PBE-GGA",
  "state": "optimized geometry",
  "cell": [[5.458, -1.455, 0.000], [5.458, 1.455, 0.000], [-4.718, 0.000, 10.835]],
  "species": ["Al", "Al", "Al", "Al", "Al", "Al", "Zn", "Zn", "Ag", "Ag"],
  "fractional_positions": [[0.125, 0.125, 0.411], [0.126, 0.126, 0.797], [0.373, 0.373, 0.007], [0.627, 0.627, 0.993], [0.874, 0.874, 0.203], [0.875, 0.875, 0.589], [0.116, 0.116, 0.184], [0.884, 0.884, 0.816], [0.371, 0.371, 0.392], [0.629, 0.629, 0.608]],
  "space_group": "C2/m (12)",
  "crystal_system": "monoclinic",
  "dos_at_fermi_per_ev_fu": 1.09
}

---

Question: of the structures shown, which is the least stable? Reply: w.